Entry 1:
# PBE-GGA LaNdSm2Ho, relaxed
data_LaNdSm2Ho
_chemical_formula_sum 'La2 Nd2 Sm4 Ho2'
_symmetry_space_group_name_H-M 'P 1 2/c 1'
_symmetry_Int_Tables_number 13
_cell_length_a 8.5598
_cell_length_b 6.5453
_cell_length_c 6.3258
_cell_angle_alpha 90.00
_cell_angle_beta 95.90
_cell_angle_gamma 90.00
loop_
_symmetry_equiv_pos_as_xyz
'x,y,z'
'-x,-y,-z'
'-x,y,-z+1/2'
'x,-y,z+1/2'
loop_
_atom_site_label
_atom_site_fract_x
_atom_site_fract_y
_atom_site_fract_z
La1 0.0000 0.0000 0.0000
Nd1 0.0000 0.4395 0.2500
Sm1 0.3142 0.3126 0.7174
Ho1 0.5000 0.1674 0.2500
# VASP energy ... -44.71 eV per cell


Entry 2:
# PBE-GGA LiTl2Te2, relaxed
data_LiTl2Te2
_chemical_formula_sum 'Li2 Tl4 Te4'
_symmetry_space_group_name_H-M 'I 4/m m m'
_symmetry_Int_Tables_number 139
_symmetry_space_group_name_Hall '-I 4 2'
_cell_length_a 4.5529
_cell_length_b 4.5529
_cell_length_c 16.0496
_cell_angle_alpha 90.00
_cell_angle_beta 90.00
_cell_angle_gamma 90.00
loop_
_atom_site_label
_atom_site_fract_x
_atom_site_fract_y
_atom_site_fract_z
Li1 0.0000 0.0000 0.0000
Tl1 0.0000 0.5000 0.2500
Te1 0.0000 0.0000 0.4095
# Distance to the lowest polymorph of the same formula ... 0.93 eV per formula unit


Entry 3:
# PBE-GGA SrTcAu2, relaxed
data_SrTcAu2
_chemical_formula_sum 'Sr4 Tc4 Au8'
_symmetry_space_group_name_H-M 'F m -3 m'
_symmetry_Int_Tables_number 225
_symmetry_space_group_name_Hall '-F 4 2 3'
_cell_length_a 7.0866
_cell_length_b 7.0866
_cell_length_c 7.0866
_cell_angle_alpha 90.00
_cell_angle_beta 90.00
_cell_angle_gamma 90.00
loop_
_atom_site_label
_atom_site_fract_x
_atom_site_fract_y
_atom_site_fract_z
Sr1 0.0000 0.0000 0.0000
Tc1 0.0000 0.0000 0.5000
Au1 0.2500 0.2500 0.2500
# Distance to the lowest polymorph of the same formula ... 0.90 eV per formula unit


Entry 4:
# PBE-GGA Cs2SeI, relaxed
data_Cs2SeI
_chemical_formula_sum 'Cs8 Se4 I4'
_symmetry_space_group_name_H-M 'I -4 2 d'
_symmetry_Int_Tables_number 122
_symmetry_space_group_name_Hall 'I -4 2bw'
_cell_length_a 8.1711
_cell_length_b 8.1711
_cell_length_c 18.2096
_cell_angle_alpha 90.00
_cell_angle_beta 90.00
_cell_angle_gamma 90.00
loop_
_atom_site_label
_atom_site_fract_x
_atom_site_fract_y
_atom_site_fract_z
Cs1 0.2266 0.2500 0.1250
Se1 0.0000 0.0000 0.0000
I1 0.0000 0.0000 0.5000
# Distance to the lowest polymorph of the same formula ... 1.17 eV per formula unit


Entry 5:
# PBE-GGA InAg2AsSe4, relaxed
data_InAg2AsSe4
_chemical_formula_sum 'In1 Ag2 As1 Se4'
_symmetry_space_group_name_H-M 'P 1'
_symmetry_Int_Tables_number 1
_cell_length_a 5.5726
_cell_length_b 6.4832
_cell_length_c 7.1451
_cell_angle_alpha 70.91
_cell_angle_beta 67.27
_cell_angle_gamma 89.47
loop_
_symmetry_equiv_pos_as_xyz
'x,y,z'
loop_
_atom_site_label
_atom_site_fract_x
_atom_site_fract_y
_atom_site_fract_z
In1 0.0000 0.0000 0.0000
Ag1 0.5383 0.5341 0.9643
Ag2 0.7711 0.2272 0.4915
As1 0.2339 0.7615 0.4769
Se1 0.2108 0.1415 0.2166
Se2 0.3996 0.8727 0.7125
Se3 0.6432 0.6403 0.2607
Se4 0.9226 0.3556 0.7470
# VASP energy ... -28.63 eV per cell


Entry 6:
# PBE-GGA P2RuW, relaxed
data_P2RuW
_chemical_formula_sum 'P2 Ru1 W1'
_symmetry_space_group_name_H-M 'P m m m'
_symmetry_Int_Tables_number 47
_cell_length_a 3.0177
_cell_length_b 3.7922
_cell_length_c 5.0188
_cell_angle_alpha 90.00
_cell_angle_beta 90.00
_cell_angle_gamma 90.00
loop_
_symmetry_equiv_pos_as_xyz
'x,y,z'
'-x,-y,-z'
'-x,-y,z'
'x,y,-z'
'x,-y,-z'
'-x,y,z'
'-x,y,-z'
'x,-y,z'
loop_
_atom_site_label
_atom_site_fract_x
_atom_site_fract_y
_atom_site_fract_z
P1 0.0000 0.0000 0.0000
P2 0.5000 0.0000 0.5000
Ru1 0.0000 0.5000 0.5000
W1 0.5000 0.5000 0.0000
# VASP energy ... -32.08 eV per cell


Entry 7:
# PBE-GGA La4In5Sn2, relaxed
data_La4In5Sn2
_chemical_formula_sum 'La4 In5 Sn2'
_symmetry_space_group_name_H-M 'P 1 2/m 1'
_symmetry_Int_Tables_number 10
_cell_length_a 8.3347
_cell_length_b 3.7671
_cell_length_c 10.4295
_cell_angle_alpha 90.00
_cell_angle_beta 94.48
_cell_angle_gamma 90.00
loop_
_symmetry_equiv_pos_as_xyz
'x,y,z'
'-x,-y,-z'
'-x,y,-z'
'x,-y,z'
loop_
_atom_site_label
_atom_site_fract_x
_atom_site_fract_y
_atom_site_fract_z
La1 0.1768 0.0000 0.3849
La2 0.2722 0.0000 0.9385
In1 0.1889 0.5000 0.6597
In2 0.4479 0.5000 0.2045
In3 0.5000 0.5000 0.5000
Sn1 0.0640 0.5000 0.1369
# VASP energy ... -46.92 eV per cell


Entry 8:
# PBE-GGA LiHfTl2, relaxed
data_LiHfTl2
_chemical_formula_sum 'Li3 Hf3 Tl6'
_symmetry_space_group_name_H-M 'R -3 m'
_symmetry_Int_Tables_number 166
_symmetry_space_group_name_Hall '-R 3 2"'
_cell_length_a 3.2621
_cell_length_b 3.2621
_cell_length_c 32.0635
_cell_angle_alpha 90.00
_cell_angle_beta 90.00
_cell_angle_gamma 120.00
loop_
_atom_site_label
_atom_site_fract_x
_atom_site_fract_y
_atom_site_fract_z
Li1 0.0000 0.0000 0.0000
Hf1 0.0000 0.0000 0.5000
Tl1 0.0000 0.0000 0.4079
# VASP energy ... -47.37 eV per cell


Entry 9:
# PBE-GGA PmBe2Au6, relaxed
data_PmBe2Au6
_chemical_formula_sum 'Pm2 Be4 Au12'
_symmetry_space_group_name_H-M 'C 1 2/m 1'
_symmetry_Int_Tables_number 12
_cell_length_a 10.0584
_cell_length_b 5.8863
_cell_length_c 5.5411
_cell_angle_alpha 90.00
_cell_angle_beta 90.08
_cell_angle_gamma 90.00
loop_
_symmetry_equiv_pos_as_xyz
'x,y,z'
'-x,-y,-z'
'-x,y,-z'
'x,-y,z'
'x+1/2,y+1/2,z'
'-x+1/2,-y+1/2,-z'
'-x+1/2,y+1/2,-z'
'x+1/2,-y+1/2,z'
loop_
_atom_site_label
_atom_site_fract_x
_atom_site_fract_y
_atom_site_fract_z
Pm1 0.0000 0.0000 0.0000
Be1 0.1172 0.5000 0.9984
Au1 0.0000 0.2602 0.5000
Au2 0.2498 0.2502 0.2530
# Distance to the lowest polymorph of the same formula ... 0.00 eV per formula unit


Entry 10:
# PBE-GGA Y2MgIn, relaxed
data_Y2MgIn
_chemical_formula_sum 'Y2 Mg1 In1'
_symmetry_space_group_name_H-M 'P m m 2'
_symmetry_Int_Tables_number 25
_cell_length_a 3.5156
_cell_length_b 4.7824
_cell_length_c 6.6037
_cell_angle_alpha 90.00
_cell_angle_beta 90.00
_cell_angle_gamma 90.00
loop_
_symmetry_equiv_pos_as_xyz
'x,y,z'
'-x,-y,z'
'-x,y,z'
'x,-y,z'
loop_
_atom_site_label
_atom_site_fract_x
_atom_site_fract_y
_atom_site_fract_z
Y1 0.0000 0.0000 0.0000
Y2 0.5000 0.5000 0.2793
Mg1 0.5000 0.5000 0.7732
In1 0.0000 0.0000 0.5047
# VASP energy ... -17.93 eV per cell


Entry 11:
# PBE-GGA Y2Tm2Mg7, relaxed
data_Y2Tm2Mg7
_chemical_formula_sum 'Y4 Tm4 Mg14'
_symmetry_space_group_name_H-M 'I m m 2'
_symmetry_Int_Tables_number 44
_cell_length_a 5.2186
_cell_length_b 14.7748
_cell_length_c 7.6729
_cell_angle_alpha 90.00
_cell_angle_beta 90.00
_cell_angle_gamma 90.00
loop_
_symmetry_equiv_pos_as_xyz
'x,y,z'
'-x,-y,z'
'-x,y,z'
'x,-y,z'
'x+1/2,y+1/2,z+1/2'
'-x+1/2,-y+1/2,z+1/2'
'-x+1/2,y+1/2,z+1/2'
'x+1/2,-y+1/2,z+1/2'
loop_
_atom_site_label
_atom_site_fract_x
_atom_site_fract_y
_atom_site_fract_z
Y1 0.0000 0.2169 0.0000
Tm1 0.0000 0.0000 0.8333
Tm2 0.0000 0.5000 0.0214
Mg1 0.0000 0.0000 0.2488
Mg2 0.0000 0.1535 0.5240
Mg3 0.0000 0.3569 0.3073
Mg4 0.0000 0.3836 0.6817
# VASP energy ... -64.88 eV per cell


Entry 12:
# PBE-GGA BaSiRh2, relaxed
data_BaSiRh2
_chemical_formula_sum 'Ba1 Si1 Rh2'
_symmetry_space_group_name_H-M 'P 4/m m m'
_symmetry_Int_Tables_number 123
_symmetry_space_group_name_Hall '-P 4 2'
_cell_length_a 3.0850
_cell_length_b 3.0850
_cell_length_c 7.7660
_cell_angle_alpha 90.00
_cell_angle_beta 90.00
_cell_angle_gamma 90.00
loop_
_atom_site_label
_atom_site_fract_x
_atom_site_fract_y
_atom_site_fract_z
Ba1 0.0000 0.0000 0.0000
Si1 0.0000 0.0000 0.5000
Rh1 0.5000 0.5000 0.3254
# VASP energy ... -23.07 eV per cell


Entry 13:
# PBE-GGA LiSm2Au3, relaxed
data_LiSm2Au3
_chemical_formula_sum 'Li8 Sm16 Au24'
_symmetry_space_group_name_H-M 'F m m m'
_symmetry_Int_Tables_number 69
_symmetry_space_group_name_Hall '-F 2 2'
_cell_length_a 7.1660
_cell_length_b 9.3123
_cell_length_c 16.0775
_cell_angle_alpha 90.00
_cell_angle_beta 90.00
_cell_angle_gamma 90.00
loop_
_atom_site_label
_atom_site_fract_x
_atom_site_fract_y
_atom_site_fract_z
Li1 0.0000 0.0000 0.1679
Sm1 0.2485 0.0000 0.5000
Sm2 0.2500 0.2500 0.2500
Au1 0.0000 0.0000 0.3264
Au2 0.0000 0.2345 0.0877
# Distance to the lowest polymorph of the same formula ... 0.23 eV per formula unit


Entry 14:
# PBE-GGA Sm2Er5, relaxed
data_Sm2Er5
_chemical_formula_sum 'Sm8 Er20'
_symmetry_space_group_name_H-M 'C 1 2/c 1'
_symmetry_Int_Tables_number 15
_cell_length_a 15.6393
_cell_length_b 6.2563
_cell_length_c 9.1672
_cell_angle_alpha 90.00
_cell_angle_beta 96.00
_cell_angle_gamma 90.00
loop_
_symmetry_equiv_pos_as_xyz
'x,y,z'
'-x,-y,-z'
'-x,y,-z+1/2'
'x,-y,z+1/2'
'x+1/2,y+1/2,z'
'-x+1/2,-y+1/2,-z'
'-x+1/2,y+1/2,-z+1/2'
'x+1/2,-y+1/2,z+1/2'
loop_
_atom_site_label
_atom_site_fract_x
_atom_site_fract_y
_atom_site_fract_z
Sm1 0.0723 0.1676 0.1075
Er1 0.0000 0.3346 0.7500
Er2 0.1446 0.3351 0.4650
Er3 0.2144 0.1668 0.8216
# Distance to the lowest polymorph of the same formula ... 0.00 eV per formula unit


Entry 15:
# PBE-GGA TiAs2CSe, relaxed
data_TiAs2CSe
_chemical_formula_sum 'Ti1 As2 C1 Se1'
_symmetry_space_group_name_H-M 'P 4/m m m'
_symmetry_Int_Tables_number 123
_symmetry_space_group_name_Hall '-P 4 2'
_cell_length_a 4.8924
_cell_length_b 4.8924
_cell_length_c 4.8216
_cell_angle_alpha 90.00
_cell_angle_beta 90.00
_cell_angle_gamma 90.00
loop_
_atom_site_label
_atom_site_fract_x
_atom_site_fract_y
_atom_site_fract_z
Ti1 0.0000 0.0000 0.0000
As1 0.0000 0.5000 0.0000
C1 0.5000 0.5000 0.5000
Se1 0.0000 0.0000 0.5000
# Distance to the lowest polymorph of the same formula ... 2.69 eV per formula unit


Entry 16:
# PBE-GGA Pr3Dy6Er2Tm, relaxed
data_Pr3Dy6Er2Tm
_chemical_formula_sum 'Pr6 Dy12 Er4 Tm2'
_symmetry_space_group_name_H-M 'C 1 2/m 1'
_symmetry_Int_Tables_number 12
_cell_length_a 6.1982
_cell_length_b 10.7314
_cell_length_c 11.8294
_cell_angle_alpha 90.00
_cell_angle_beta 100.04
_cell_angle_gamma 90.00
loop_
_symmetry_equiv_pos_as_xyz
'x,y,z'
'-x,-y,-z'
'-x,y,-z'
'x,-y,z'
'x+1/2,y+1/2,z'
'-x+1/2,-y+1/2,-z'
'-x+1/2,y+1/2,-z'
'x+1/2,-y+1/2,z'
loop_
_atom_site_label
_atom_site_fract_x
_atom_site_fract_y
_atom_site_fract_z
Pr1 0.0000 0.0000 0.0000
Pr2 0.0000 0.3334 0.0000
Dy1 0.2482 0.0000 0.7443
Dy2 0.2480 0.3334 0.7442
Er1 0.0000 0.1666 0.5000
Tm1 0.0000 0.5000 0.5000
# VASP energy ... -110.56 eV per cell


Entry 17:
# PBE-GGA Tm5Ga2Ge, relaxed
data_Tm5Ga2Ge
_chemical_formula_sum 'Tm20 Ga8 Ge4'
_symmetry_space_group_name_H-M 'I 4/m c m'
_symmetry_Int_Tables_number 140
_symmetry_space_group_name_Hall '-I 4 2c'
_cell_length_a 7.5926
_cell_length_b 7.5926
_cell_length_c 13.4303
_cell_angle_alpha 90.00
_cell_angle_beta 90.00
_cell_angle_gamma 90.00
loop_
_atom_site_label
_atom_site_fract_x
_atom_site_fract_y
_atom_site_fract_z
Tm1 0.0000 0.0000 0.0000
Tm2 0.1644 0.3356 0.1485
Ga1 0.1276 0.3724 0.5000
Ge1 0.0000 0.0000 0.2500
# VASP energy ... -150.50 eV per cell